VASP calculation (PBE) on crystalline CsHgAs5 at its relaxed geometry.

Structure (POSCAR):
```
CsHgAs5
1.0
2.3206 -7.6394 0.0000
2.3206 7.6394 0.0000
-0.2226 0.0000 12.1528
Cs Hg As
2 2 10
direct
0.0112 0.9888 0.7500 Cs
0.9888 0.0112 0.2500 Cs
0.5000 0.5000 0.0000 Hg
0.5000 0.5000 0.5000 Hg
0.0678 0.4607 0.6346 As
0.1121 0.7216 0.9577 As
0.2784 0.8879 0.5423 As
0.3005 0.6995 0.2500 As
0.4607 0.0678 0.1346 As
0.5393 0.9322 0.8654 As
0.6995 0.3005 0.7500 As
0.7216 0.1121 0.4577 As
0.8879 0.2784 0.0423 As
0.9322 0.5393 0.3654 As
```

Computed properties:
Space group: C2/c
N(E_F): 0.30 states/eV per atom
Calculated volume: 430.89 Å³ per cell
Energy of formation: -114 meV per atom